# 1
12
Lattice="-7.0012 1.2256 0.5861 -0.5078 -4.7572 -4.8849 -0.5539 -5.9804 5.8785" Properties=species:S:1:pos:R:3 comment="Ag2SbPbBr8 | Alexandria via LeMat-Bulk | PBE | optimized geometry" dos_at_fermi_per_ev_atom=0.758 raw_formation_energy_ev_per_atom=-0.51 m_tot_mub_per_atom=0.00 dft_energy_ev_per_atom=-2.755 pbc="T T T"
Br -1.9893 -8.0965 0.8128
Br -5.6072 -8.5578 2.7812
Br -2.4556 -0.9542 -1.2014
Br -6.0735 -1.4155 0.7670
Br -2.8541 -3.9335 1.7372
Br -1.6914 -4.8834 -2.3454
Br -5.2087 -5.5784 -0.1574
Br -6.3715 -4.6286 3.9252
Ag -4.1705 -6.2577 2.2662
Ag -3.8924 -3.2543 -0.6864
Pb -0.2769 -2.9902 2.9393
Sb 0.0000 0.0000 0.0000


# 2
10
Lattice="7.5080 0.0000 0.0000 0.0000 7.5080 0.0000 0.0000 0.0000 2.7050" Properties=species:S:1:pos:R:3 comment="ZrAl2Cu2 | Alexandria via LeMat-Bulk | PBE | optimized geometry" de_polymorph_mev_per_atom=97 dos_at_fermi_per_ev_atom=0.504 m_tot_mub_per_atom=0.00 dft_energy_ev_per_atom=-5.074 pbc="T T T"
Cu 1.2240 4.9780 1.3525
Cu 4.9780 6.2839 1.3525
Cu 6.2839 2.5299 1.3525
Cu 2.5299 1.2240 1.3525
Zr 3.7540 3.7540 0.0000
Zr 0.0000 0.0000 0.0000
Al 6.5149 4.7470 0.0000
Al 4.7470 0.9930 0.0000
Al 2.7609 6.5149 0.0000
Al 0.9930 2.7609 0.0000